1.
The following is a DFT calculation (PBE-GGA) of a geometry-optimized BaZrF3 structure.

Total DFT energy (no corrections), eV per cell: -25.4
Spin magnetization, Bohr magnetons per cell: 2.9
Formation energy (no corrections), eV/atom: -1.87
Energy relative to the lowest polymorph listed for this composition, meV per atom: 544.0

Geometry as CIF:
```
data_BaZrF3
_chemical_formula_sum 'Ba1 Zr1 F3'
_symmetry_space_group_name_H-M 'P m -3 m'
_symmetry_Int_Tables_number 221
_symmetry_space_group_name_Hall '-P 4 2 3'
_cell_length_a 5.046
_cell_length_b 5.046
_cell_length_c 5.046
_cell_angle_alpha 90.00
_cell_angle_beta 90.00
_cell_angle_gamma 90.00
loop_
_atom_site_label
_atom_site_type_symbol
_atom_site_fract_x
_atom_site_fract_y
_atom_site_fract_z
Ba1 Ba 0.000 0.000 0.000
Zr1 Zr 0.500 0.500 0.500
F1 F 0.000 0.000 0.500
```


2.
The following is a DFT calculation (PBE-GGA) of a geometry-optimized BaZrF2 structure.

Total DFT energy (no corrections), eV per cell: -67.3
Spin magnetization, Bohr magnetons per cell: 2.1
Formation energy (no corrections), eV/atom: -2.06
Energy relative to the lowest polymorph listed for this composition, meV per atom: 0.0

Geometry as CIF:
```
data_BaZrF2
_chemical_formula_sum 'Ba3 Zr3 F6'
_symmetry_space_group_name_H-M 'R -3 m'
_symmetry_Int_Tables_number 166
_symmetry_space_group_name_Hall '-R 3 2"'
_cell_length_a 3.4510
_cell_length_b 3.4510
_cell_length_c 23.6458
_cell_angle_alpha 90.00
_cell_angle_beta 90.00
_cell_angle_gamma 120.00
loop_
_atom_site_label
_atom_site_type_symbol
_atom_site_fract_x
_atom_site_fract_y
_atom_site_fract_z
Ba1 Ba 0.0000 0.0000 0.0000
Zr1 Zr 0.0000 0.0000 0.5000
F1 F 0.0000 0.0000 0.4107
```


3.
The following is a DFT calculation (PBE-GGA) of a geometry-optimized Ba2ZrF structure.

Total DFT energy (no corrections), eV per cell: -67.8
Spin magnetization, Bohr magnetons per cell: 4.9
Formation energy (no corrections), eV/atom: -0.67
Energy relative to the lowest polymorph listed for this composition, meV per atom: 0.0

Geometry as CIF:
```
data_Ba2ZrF
_chemical_formula_sum 'Ba8 Zr4 F4'
_symmetry_space_group_name_H-M 'I -4 2 d'
_symmetry_Int_Tables_number 122
_symmetry_space_group_name_Hall 'I -4 2bw'
_cell_length_a 8.137
_cell_length_b 8.137
_cell_length_c 8.806
_cell_angle_alpha 90.00
_cell_angle_beta 90.00
_cell_angle_gamma 90.00
loop_
_atom_site_label
_atom_site_type_symbol
_atom_site_fract_x
_atom_site_fract_y
_atom_site_fract_z
Ba1 Ba 0.144 0.750 0.125
Zr1 Zr 0.000 0.000 0.500
F1 F 0.000 0.000 0.000
```